Entry 1:
An optimized crystal structure of LiCoRe3. Source: Alexandria, functional PBE.

## Properties
Space group: Pm-3m (221)
D(E_F) (states/eV per cell): 5.314
Energy of formation (kJ/mol of atoms): 138.68
Relative energy among the computed polymorphs (eV per atom): 0.000
V (A^3/atom): 13.44
Final energy (eV per atom): -7.8355

Unit cell a=4.0657 b=4.0657 c=4.0657 alpha=90.00 beta=90.00 gamma=90.00
Atoms (fractional coordinates):
Li 0.0000 0.0000 0.0000
Re 0.0000 0.0000 0.5000
Co 0.5000 0.5000 0.5000
Re 0.5000 0.0000 0.0000
Re 0.0000 0.5000 0.0000



Entry 2:
An optimized crystal structure of ScCrTc2Sb. Source: Alexandria, functional PBE.

## Properties
ΔE_f (raw) (meV per atom): 690
Space group: P4/mmm (123)
D(E_F) (states/eV per cell): 11.035
V (A^3/atom): 19.53
Final energy (eV per atom): -7.4718

Unit cell a=4.4923 b=4.8377 c=4.4923 alpha=90.00 beta=90.00 gamma=90.00
Atoms (fractional coordinates):
Sb 0.0000 0.5000 0.0000
Tc 0.0000 0.0000 0.5000
Sc 0.5000 0.5000 0.5000
Tc 0.5000 0.0000 0.0000
Cr 0.0000 0.0000 0.0000



Entry 3:
An optimized crystal structure of BaAuF. Source: Alexandria, functional PBE.

## Properties
ΔE_f (raw) (meV per atom): -2215
Space group: Cmcm (63)
D(E_F) (states/eV per cell): 0.525
Relative energy among the computed polymorphs (eV per atom): 0.000
V (A^3/atom): 25.71
Final energy (eV per atom): -4.5724

Unit cell a=4.6963 b=4.3198 c=7.9051 alpha=105.86 beta=90.00 gamma=90.00
Atoms (fractional coordinates):
F 0.2500 0.2531 0.5063
Ba 0.2500 0.6523 0.3047
Au 0.7500 0.0494 0.0987
F 0.7500 0.7469 0.4937
Au 0.2500 0.9506 0.9013
Ba 0.7500 0.3477 0.6953



Entry 4:
An optimized crystal structure of PaRe2W. Source: Alexandria, functional PBE.

## Properties
Space group: P4/mmm (123)
D(E_F) (states/eV per cell): 6.980
Energy of formation (kJ/mol of atoms): 4.86
Relative energy among the computed polymorphs (eV per atom): 0.000
V (A^3/atom): 17.95
Final energy (eV per atom): -11.7860

Unit cell a=3.1134 b=3.1134 c=7.4070 alpha=90.00 beta=90.00 gamma=90.00
Atoms (fractional coordinates):
Pa 0.5000 0.5000 0.0000
Re 0.0000 0.0000 0.2904
Re 0.0000 0.0000 0.7096
W 0.5000 0.5000 0.5000



Entry 5:
An optimized crystal structure of Na2AlCdF6. Source: Alexandria, functional PBE.

## Properties
ΔE_f (raw) (meV per atom): -2756
Space group: R3 (146)
D(E_F) (states/eV per cell): 2.427
V (A^3/atom): 14.54
Final energy (eV per atom): -4.6080

Unit cell a=5.6919 b=5.6918 c=6.1363 alpha=62.37 beta=62.36 gamma=59.99
Last column: magnetic moment on the atom in μB.
Atoms (fractional coordinates):
F 0.3825 0.6696 0.7941  0.03
Na 0.0066 0.0065 0.9804  0.00
F 0.5348 0.2704 0.2035  0.02
Na 0.5331 0.5330 0.4009  0.00
F 0.2702 0.9914 0.2039  0.02
F 0.1535 0.3824 0.7944  0.03
F 0.6696 0.1534 0.7944  0.03
Al 0.3268 0.3268 0.0196  0.00
F 0.9914 0.5349 0.2037  0.02
Cd 0.7932 0.7931 0.6203  0.27



Entry 6:
An optimized crystal structure of MgBCl3. Source: Alexandria, functional PBE.

## Properties
ΔE_f (raw) (meV per atom): -42
Space group: Pm-3m (221)
D(E_F) (states/eV per cell): 0.931
Relative energy among the computed polymorphs (eV per atom): 0.151
V (A^3/atom): 18.10
Final energy (eV per atom): -2.8039

Unit cell a=4.4898 b=4.4898 c=4.4898 alpha=90.00 beta=90.00 gamma=90.00
Atoms (fractional coordinates):
B 0.0000 0.0000 0.0000
Mg 0.5000 0.5000 0.5000
Cl 0.0000 0.5000 0.0000
Cl 0.5000 0.0000 0.0000
Cl 0.0000 0.0000 0.5000



Entry 7:
An optimized crystal structure of Pr5Nd2In4. Source: Alexandria, functional PBE.

## Properties
Space group: P2/m (10)
D(E_F) (states/eV per cell): 12.413
Energy of formation (kJ/mol of atoms): -28.70
Relative energy among the computed polymorphs (eV per atom): 0.000
V (A^3/atom): 30.86
Final energy (eV per atom): -4.3326

Unit cell a=3.5302 b=8.8887 c=10.8707 alpha=84.44 beta=90.00 gamma=90.00
Atoms (fractional coordinates):
In 0.5000 0.2012 0.1213
In 0.5000 0.2480 0.5791
Pr 0.0000 0.1574 0.8592
Pr 0.0000 0.4585 0.3346
Pr 0.0000 0.5000 0.0000
In 0.5000 0.7520 0.4209
Nd 0.0000 0.0818 0.3631
Pr 0.0000 0.5415 0.6654
Pr 0.0000 0.8426 0.1408
Nd 0.0000 0.9182 0.6369
In 0.5000 0.7988 0.8787



Entry 8:
An optimized crystal structure of Nd3DyHo5. Source: Alexandria, functional PBE.

## Properties
Space group: C2/c (15)
D(E_F) (states/eV per cell): 25.961
Energy of formation (kJ/mol of atoms): 16.52
Relative energy among the computed polymorphs (eV per atom): 0.000
V (A^3/atom): 33.12
Final energy (eV per atom): -4.4726

Unit cell a=6.6999 b=8.8780 c=11.4406 alpha=107.49 beta=90.00 gamma=112.17
Atoms (fractional coordinates):
Nd 0.2944 0.3522 0.3705
Ho 0.8587 0.4685 0.3547
Dy 0.6809 0.0000 0.7500
Ho 0.3995 0.7861 0.9557
Ho 0.1413 0.5315 0.6453
Dy 0.3191 0.0000 0.2500
Ho 0.6098 0.4685 0.8547
Ho 0.3866 0.7861 0.4557
Ho 0.6005 0.2139 0.0443
Ho 0.2302 0.0000 0.7500
Nd 0.0579 0.3522 0.8705
Nd 0.0000 0.0000 0.0000
Nd 0.0000 0.0000 0.5000
Ho 0.6134 0.2139 0.5443
Nd 0.9421 0.6478 0.1295
Nd 0.7056 0.6478 0.6295
Ho 0.3902 0.5315 0.1453
Ho 0.7698 0.0000 0.2500



Entry 9:
An optimized crystal structure of Pr2MnAs3Pt4. Source: Alexandria, functional PBE.

## Properties
Space group: P-4m2 (115)
D(E_F) (states/eV per cell): 5.009
Energy of formation (kJ/mol of atoms): -78.21
V (A^3/atom): 19.64
Final energy (eV per atom): -6.4947

Unit cell a=4.3259 b=4.3259 c=10.4967 alpha=90.00 beta=90.00 gamma=90.00
Last column: magnetic moment on the atom in μB.
Atoms (fractional coordinates):
Pr 0.0000 0.5000 0.7594  -0.03
Pt 0.0000 0.0000 0.0000  0.01
As 0.5000 0.0000 0.8653  0.00
As 0.0000 0.0000 0.5000  0.00
Pt 0.5000 0.5000 0.0000  0.00
As 0.0000 0.5000 0.1347  0.00
Pt 0.0000 0.5000 0.3686  0.08
Pr 0.5000 0.0000 0.2406  -0.03
Mn 0.5000 0.5000 0.5000  3.69
Pt 0.5000 0.0000 0.6314  0.08



Entry 10:
An optimized crystal structure of Er8ThSc5. Source: Alexandria, functional PBE.

## Properties
Space group: I-4 (82)
D(E_F) (states/eV per cell): 24.561
Energy of formation (kJ/mol of atoms): 28.27
V (A^3/atom): 29.69
Final energy (eV per atom): -5.1056

Unit cell a=8.1917 b=8.1917 c=8.1918 alpha=105.27 beta=105.27 gamma=118.25
Atoms (fractional coordinates):
Er 0.1802 0.3428 0.1624
Er 0.3763 0.2690 0.5485
Er 0.9822 0.8198 0.1626
Sc 0.7227 0.2069 0.7221
Er 0.7310 0.2795 0.1073
Sc 0.7931 0.5152 0.5159
Th 0.2500 0.7500 0.5000
Er 0.1804 0.0178 0.8376
Sc 0.9993 0.2772 0.4841
Sc 0.5000 0.5000 0.0000
Sc 0.4848 0.0007 0.2779
Er 0.7205 0.8279 0.4515
Er 0.6572 0.8196 0.8374
Er 0.1721 0.6237 0.8927



Entry 11:
An optimized crystal structure of Tb5PmPr3. Source: Alexandria, functional PBE.

## Properties
Space group: C2/m (12)
D(E_F) (states/eV per cell): 25.664
Energy of formation (kJ/mol of atoms): 48.12
V (A^3/atom): 37.76
Final energy (eV per atom): -4.1946

Unit cell a=9.6356 b=9.6356 c=11.8330 alpha=52.19 beta=52.19 gamma=72.99
Atoms (fractional coordinates):
Pr 0.0000 0.0000 0.5000
Pr 0.3376 0.3376 0.6404
Pr 0.6624 0.6624 0.3596
Tb 0.1538 0.6530 0.7503
Tb 0.3470 0.8462 0.2497
Pr 0.3041 0.3041 0.1892
Pm 0.1602 0.1602 0.5934
Tb 0.7437 0.2563 0.0000
Tb 0.5034 0.5034 0.7768
Pr 0.6959 0.6959 0.8108
Tb 0.2563 0.7437 0.0000
Pr 0.0000 0.0000 0.0000
Pm 0.8398 0.8398 0.4066
Tb 0.8462 0.3470 0.2497
Tb 0.1812 0.1812 0.0429
Tb 0.8188 0.8188 0.9571
Tb 0.6530 0.1538 0.7503
Tb 0.4966 0.4966 0.2232



Entry 12:
An optimized crystal structure of NiSe2IN. Source: Alexandria, functional PBE.

## Properties
ΔE_f (raw) (meV per atom): 1630
Space group: P4/mmm (123)
D(E_F) (states/eV per cell): 6.717
Relative energy among the computed polymorphs (eV per atom): 0.926
V (A^3/atom): 23.25
Final energy (eV per atom): -2.8947

Unit cell a=5.4530 b=5.4530 c=3.9087 alpha=90.00 beta=90.00 gamma=90.00
Last column: magnetic moment on the atom in μB.
Atoms (fractional coordinates):
Se 0.5000 0.0000 0.0000  0.23
Se 0.0000 0.5000 0.0000  0.23
I 0.0000 0.0000 0.0000  -0.01
Ni 0.5000 0.5000 0.5000  1.14
N 0.0000 0.0000 0.5000  0.12